VASP calculation (PBE) on a relaxed structure of Dy2ErIn3Pd2Au.

**E**: -4.7341 eV/atom
**SG**: Amm2, No. 38

Geometry as POSCAR:
```
Dy2ErIn3Pd2Au
1.0
3.8173 0.0000 0.0000
0.0000 6.7384 3.8985
0.0000 -6.7384 3.8985
Dy Er In Pd Au
2 1 3 2 1
direct
0.0000 0.2029 0.7971 Dy
0.0000 0.7971 0.2029 Dy
0.0000 0.6088 0.6088 Er
0.5000 0.2034 0.4726 In
0.5000 0.4726 0.2034 In
0.5000 0.9331 0.9331 In
0.5000 0.5369 0.8683 Pd
0.5000 0.8683 0.5369 Pd
0.0000 0.2035 0.2035 Au
```